Entry 1:
# Dy2Er8Al (PBE, relaxed)
# Energy relative to the elements, meV/atom: -42
# Symmetry: C2/m
data_Dy2Er8Al
_chemical_formula_sum 'Dy2 Er8 Al1'
_symmetry_space_group_name_H-M 'P 1'
_symmetry_Int_Tables_number 1
_cell_length_a 5.4193
_cell_length_b 6.3425
_cell_length_c 9.8787
_cell_angle_alpha 85.89
_cell_angle_beta 105.92
_cell_angle_gamma 90.00
loop_
_symmetry_equiv_pos_as_xyz
'x,y,z'
loop_
_atom_site_label
_atom_site_type_symbol
_atom_site_fract_x
_atom_site_fract_y
_atom_site_fract_z
_atom_site_occupancy
Er1 Er 0.6578 0.8770 0.3155 1
Er2 Er 0.5778 0.3977 0.1556 1
Er3 Er 0.0431 0.7450 0.0863 1
Er4 Er 0.9569 0.2550 0.9137 1
Er5 Er 0.1542 0.1894 0.3084 1
Er6 Er 0.3422 0.1230 0.6845 1
Er7 Er 0.4222 0.6023 0.8444 1
Er8 Er 0.8458 0.8106 0.6916 1
Dy1 Dy 0.7578 0.3330 0.5156 1
Dy2 Dy 0.2422 0.6670 0.4844 1
Al1 Al 0.5000 0.0000 0.0000 1

---

Entry 2:
# DyErAl3 (PBE, relaxed)
# Energy relative to the elements, meV/atom: -452
# Symmetry: Cmcm
data_DyErAl3
_chemical_formula_sum 'Dy2 Er2 Al6'
_symmetry_space_group_name_H-M 'P 1'
_symmetry_Int_Tables_number 1
_cell_length_a 4.5306
_cell_length_b 3.5256
_cell_length_c 13.8639
_cell_angle_alpha 97.31
_cell_angle_beta 90.00
_cell_angle_gamma 90.00
loop_
_symmetry_equiv_pos_as_xyz
'x,y,z'
loop_
_atom_site_label
_atom_site_type_symbol
_atom_site_fract_x
_atom_site_fract_y
_atom_site_fract_z
_atom_site_occupancy
Al1 Al 0.7500 0.3284 0.6569 1
Al2 Al 0.2500 0.6716 0.3431 1
Al3 Al 0.7500 0.6195 0.2389 1
Al4 Al 0.7500 0.5240 0.0480 1
Al5 Al 0.2500 0.3805 0.7611 1
Al6 Al 0.2500 0.4760 0.9520 1
Er1 Er 0.7500 0.2121 0.4242 1
Er2 Er 0.2500 0.7879 0.5758 1
Dy1 Dy 0.7500 0.9280 0.8560 1
Dy2 Dy 0.2500 0.0720 0.1440 1

---

Entry 3:
# Dy3Er2Al3 (PBE, relaxed)
# Energy relative to the elements, meV/atom: -302
# Symmetry: Immm
data_Dy3Er2Al3
_chemical_formula_sum 'Dy3 Er2 Al3'
_symmetry_space_group_name_H-M 'P 1'
_symmetry_Int_Tables_number 1
_cell_length_a 3.6522
_cell_length_b 5.1448
_cell_length_c 11.1923
_cell_angle_alpha 103.29
_cell_angle_beta 99.39
_cell_angle_gamma 90.00
loop_
_symmetry_equiv_pos_as_xyz
'x,y,z'
loop_
_atom_site_label
_atom_site_type_symbol
_atom_site_fract_x
_atom_site_fract_y
_atom_site_fract_z
_atom_site_occupancy
Dy1 Dy 0.3793 0.3793 0.7586 1
Dy2 Dy 0.5000 0.0000 0.0000 1
Dy3 Dy 0.6207 0.6207 0.2414 1
Er1 Er 0.7307 0.2307 0.4615 1
Er2 Er 0.2693 0.7693 0.5385 1
Al1 Al 0.8830 0.8830 0.7661 1
Al2 Al 0.0000 0.5000 0.0000 1
Al3 Al 0.1170 0.1170 0.2339 1

---

Entry 4:
# DyEr2Al (PBE, relaxed)
# Polymorph energy (0 for the lowest one), kJ/mol of atoms: 30.2
# Energy relative to the elements, meV/atom: 112
# Symmetry: R-3m
data_DyEr2Al
_chemical_formula_sum 'Dy1 Er2 Al1'
_symmetry_space_group_name_H-M 'P 1'
_symmetry_Int_Tables_number 1
_cell_length_a 3.4258
_cell_length_b 3.4258
_cell_length_c 11.5811
_cell_angle_alpha 81.49
_cell_angle_beta 81.49
_cell_angle_gamma 60.00
loop_
_symmetry_equiv_pos_as_xyz
'x,y,z'
loop_
_atom_site_label
_atom_site_type_symbol
_atom_site_fract_x
_atom_site_fract_y
_atom_site_fract_z
_atom_site_occupancy
Er1 Er 0.9000 0.9000 0.3001 1
Er2 Er 0.1000 0.1000 0.6999 1
Dy1 Dy 0.0000 0.0000 0.0000 1
Al1 Al 0.5000 0.5000 0.5000 1

---

Entry 5:
# DyEr2Al (PBE, relaxed)
# Polymorph energy (0 for the lowest one), kJ/mol of atoms: 0.6
# Energy relative to the elements, meV/atom: -194
# Symmetry: P4/mmm
data_DyEr2Al
_chemical_formula_sum 'Dy1 Er2 Al1'
_symmetry_space_group_name_H-M 'P 1'
_symmetry_Int_Tables_number 1
_cell_length_a 4.7357
_cell_length_b 4.7265
_cell_length_c 4.7265
_cell_angle_alpha 90.00
_cell_angle_beta 90.00
_cell_angle_gamma 90.00
loop_
_symmetry_equiv_pos_as_xyz
'x,y,z'
loop_
_atom_site_label
_atom_site_type_symbol
_atom_site_fract_x
_atom_site_fract_y
_atom_site_fract_z
_atom_site_occupancy
Dy1 Dy 0.5000 0.0000 0.0000 1
Er1 Er 0.0000 0.0000 0.5000 1
Er2 Er 0.0000 0.5000 0.0000 1
Al1 Al 0.5000 0.5000 0.5000 1

---

Entry 6:
# DyEr5Al6 (PBE, relaxed)
# Energy relative to the elements, meV/atom: -395
# Symmetry: Cmmm
data_DyEr5Al6
_chemical_formula_sum 'Dy1 Er5 Al6'
_symmetry_space_group_name_H-M 'P 1'
_symmetry_Int_Tables_number 1
_cell_length_a 5.0540
_cell_length_b 7.1303
_cell_length_c 7.9968
_cell_angle_alpha 90.00
_cell_angle_beta 71.58
_cell_angle_gamma 90.00
loop_
_symmetry_equiv_pos_as_xyz
'x,y,z'
loop_
_atom_site_label
_atom_site_type_symbol
_atom_site_fract_x
_atom_site_fract_y
_atom_site_fract_z
_atom_site_occupancy
Er1 Er 0.6660 0.5000 0.6679 1
Er2 Er 0.3330 0.0000 0.3339 1
Er3 Er 0.3340 0.5000 0.3321 1
Er4 Er 0.0000 0.5000 0.0000 1
Er5 Er 0.6670 0.0000 0.6661 1
Al1 Al 0.5000 0.2508 0.0000 1
Al2 Al 0.1673 0.7486 0.6653 1
Al3 Al 0.1673 0.2514 0.6653 1
Al4 Al 0.5000 0.7492 0.0000 1
Al5 Al 0.8327 0.7486 0.3347 1
Al6 Al 0.8327 0.2514 0.3347 1
Dy1 Dy 0.0000 0.0000 0.0000 1

---

Entry 7:
# Dy2Er2Al (PBE, relaxed)
# Polymorph energy (0 for the lowest one), kJ/mol of atoms: 0.0
# Energy relative to the elements, meV/atom: -135
# Symmetry: C2/m
data_Dy2Er2Al
_chemical_formula_sum 'Dy2 Er2 Al1'
_symmetry_space_group_name_H-M 'P 1'
_symmetry_Int_Tables_number 1
_cell_length_a 3.6679
_cell_length_b 6.4589
_cell_length_c 6.5194
_cell_angle_alpha 87.10
_cell_angle_beta 73.66
_cell_angle_gamma 73.50
loop_
_symmetry_equiv_pos_as_xyz
'x,y,z'
loop_
_atom_site_label
_atom_site_type_symbol
_atom_site_fract_x
_atom_site_fract_y
_atom_site_fract_z
_atom_site_occupancy
Dy1 Dy 0.7776 0.8049 0.6400 1
Dy2 Dy 0.2224 0.1951 0.3600 1
Er1 Er 0.4136 0.3496 0.8232 1
Er2 Er 0.5864 0.6504 0.1768 1
Al1 Al 0.0000 0.0000 0.0000 1

---

Entry 8:
# DyEr4Al3 (PBE, relaxed)
# Energy relative to the elements, meV/atom: -132
# Symmetry: Immm
data_DyEr4Al3
_chemical_formula_sum 'Dy1 Er4 Al3'
_symmetry_space_group_name_H-M 'P 1'
_symmetry_Int_Tables_number 1
_cell_length_a 3.3339
_cell_length_b 8.5113
_cell_length_c 8.6549
_cell_angle_alpha 119.44
_cell_angle_beta 101.10
_cell_angle_gamma 90.00
loop_
_symmetry_equiv_pos_as_xyz
'x,y,z'
loop_
_atom_site_label
_atom_site_type_symbol
_atom_site_fract_x
_atom_site_fract_y
_atom_site_fract_z
_atom_site_occupancy
Al1 Al 0.0000 0.5000 0.0000 1
Al2 Al 0.8172 0.8173 0.6343 1
Al3 Al 0.1828 0.1827 0.3657 1
Dy1 Dy 0.5000 0.0000 0.0000 1
Er1 Er 0.6412 0.4444 0.2825 1
Er2 Er 0.3588 0.1622 0.7176 1
Er3 Er 0.6412 0.8378 0.2824 1
Er4 Er 0.3588 0.5556 0.7175 1

---

Entry 9:
# DyEr2Al (PBE, relaxed)
# Polymorph energy (0 for the lowest one), kJ/mol of atoms: 11.9
# Energy relative to the elements, meV/atom: -77
# Symmetry: R3m
data_DyEr2Al
_chemical_formula_sum 'Dy1 Er2 Al1'
_symmetry_space_group_name_H-M 'P 1'
_symmetry_Int_Tables_number 1
_cell_length_a 3.5484
_cell_length_b 3.5484
_cell_length_c 10.5421
_cell_angle_alpha 80.31
_cell_angle_beta 80.31
_cell_angle_gamma 60.00
loop_
_symmetry_equiv_pos_as_xyz
'x,y,z'
loop_
_atom_site_label
_atom_site_type_symbol
_atom_site_fract_x
_atom_site_fract_y
_atom_site_fract_z
_atom_site_occupancy
Dy1 Dy 0.5003 0.5003 0.4990 1
Er1 Er 0.0729 0.0729 0.7813 1
Er2 Er 0.2604 0.2604 0.2188 1
Al1 Al 0.6664 0.6664 0.0009 1

---

Entry 10:
# Dy12ErAl3 (PBE, relaxed)
# Energy relative to the elements, meV/atom: -128
# Symmetry: P4/mmm
data_Dy12ErAl3
_chemical_formula_sum 'Dy12 Er1 Al3'
_symmetry_space_group_name_H-M 'P 1'
_symmetry_Int_Tables_number 1
_cell_length_a 4.7910
_cell_length_b 4.7910
_cell_length_c 19.4847
_cell_angle_alpha 90.00
_cell_angle_beta 90.00
_cell_angle_gamma 90.00
loop_
_symmetry_equiv_pos_as_xyz
'x,y,z'
loop_
_atom_site_label
_atom_site_type_symbol
_atom_site_fract_x
_atom_site_fract_y
_atom_site_fract_z
_atom_site_occupancy
Er1 Er 0.0000 0.0000 0.0000 1
Dy1 Dy 0.0000 0.5000 0.8665 1
Dy2 Dy 0.0000 0.5000 0.1335 1
Dy3 Dy 0.5000 0.0000 0.1335 1
Dy4 Dy 0.0000 0.5000 0.3778 1
Dy5 Dy 0.5000 0.5000 0.7436 1
Dy6 Dy 0.5000 0.5000 0.2564 1
Dy7 Dy 0.5000 0.0000 0.3778 1
Dy8 Dy 0.5000 0.5000 0.0000 1
Dy9 Dy 0.5000 0.5000 0.5000 1
Dy10 Dy 0.5000 0.0000 0.6222 1
Dy11 Dy 0.5000 0.0000 0.8665 1
Dy12 Dy 0.0000 0.5000 0.6222 1
Al1 Al 0.0000 0.0000 0.5000 1
Al2 Al 0.0000 0.0000 0.2577 1
Al3 Al 0.0000 0.0000 0.7423 1

---

Entry 11:
# DyErAl4 (PBE, relaxed)
# Energy relative to the elements, meV/atom: -520
# Symmetry: F-43m
data_DyErAl4
_chemical_formula_sum 'Dy1 Er1 Al4'
_symmetry_space_group_name_H-M 'P 1'
_symmetry_Int_Tables_number 1
_cell_length_a 5.5464
_cell_length_b 5.5464
_cell_length_c 5.5464
_cell_angle_alpha 60.00
_cell_angle_beta 60.00
_cell_angle_gamma 60.00
loop_
_symmetry_equiv_pos_as_xyz
'x,y,z'
loop_
_atom_site_label
_atom_site_type_symbol
_atom_site_fract_x
_atom_site_fract_y
_atom_site_fract_z
_atom_site_occupancy
Al1 Al 0.6250 0.1249 0.6250 1
Al2 Al 0.1249 0.6250 0.6250 1
Al3 Al 0.6250 0.6250 0.6250 1
Al4 Al 0.6250 0.6250 0.1249 1
Er1 Er 0.0000 0.0000 0.0000 1
Dy1 Dy 0.2500 0.2500 0.2500 1

---

Entry 12:
# DyEr8Al2 (PBE, relaxed)
# Polymorph energy (0 for the lowest one), kJ/mol of atoms: 11.8
# Energy relative to the elements, meV/atom: 12
# Symmetry: C2/m
data_DyEr8Al2
_chemical_formula_sum 'Dy1 Er8 Al2'
_symmetry_space_group_name_H-M 'P 1'
_symmetry_Int_Tables_number 1
_cell_length_a 5.5003
_cell_length_b 8.4650
_cell_length_c 8.4650
_cell_angle_alpha 117.96
_cell_angle_beta 101.50
_cell_angle_gamma 101.50
loop_
_symmetry_equiv_pos_as_xyz
'x,y,z'
loop_
_atom_site_label
_atom_site_type_symbol
_atom_site_fract_x
_atom_site_fract_y
_atom_site_fract_z
_atom_site_occupancy
Er1 Er 0.2963 0.5972 0.5972 1
Er2 Er 0.7037 0.4028 0.4028 1
Er3 Er 0.1124 0.3259 0.0886 1
Er4 Er 0.8876 0.6741 0.9114 1
Er5 Er 0.5000 0.7768 0.2232 1
Er6 Er 0.8876 0.9114 0.6741 1
Er7 Er 0.1124 0.0886 0.3259 1
Er8 Er 0.5000 0.2232 0.7768 1
Al1 Al 0.0000 0.6920 0.3080 1
Al2 Al 0.0000 0.3080 0.6920 1
Dy1 Dy 0.5000 0.0000 0.0000 1